Computed, not measured: a geometry-optimized Rb2CoAuF6 structure at the GGA+U level of DFT.

Structure (POSCAR):
```
Rb2CoAuF6
1.0
-3.0652 3.0652 4.3040
3.0652 -3.0652 4.3040
3.0652 3.0652 -4.3040
Rb Co Au F
2 1 1 6
direct
0.2500 0.7500 0.5000
0.7500 0.2500 0.5000
0.0000 0.0000 0.0000
0.5000 0.5000 0.0000
0.2192 0.2192 0.4384
0.2192 0.7808 0.0000
0.2211 0.2211 0.0000
0.7789 0.7789 0.0000
0.7808 0.2192 0.0000
0.7808 0.7808 0.5616
```

Values from the calculation:
The mass density is 5.6 g/cm³. As for the space group: I4/mmm, No. 139. As for the uncorrected energy: -4.102 eV/atom.



Computed, not measured: a geometry-optimized Co2AuSF structure at the GGA+U level of DFT.

Structure (POSCAR):
```
Co2AuSF
1.0
4.2443 0.0000 0.0000
0.0000 4.2443 0.0000
0.0000 0.0000 4.7244
Co Au S F
2 1 1 1
direct
0.0000 0.5000 0.0000
0.5000 0.0000 0.0000
0.0000 0.0000 0.5000
0.0000 0.0000 0.0000
0.5000 0.5000 0.5000
```

Values from the calculation:
The mass density is 7.1 g/cm³. As for the space group: P4/mmm, No. 123. As for the uncorrected energy: -3.755 eV/atom.



Computed, not measured: a geometry-optimized ScCoAu2F structure at the GGA+U level of DFT.

Structure (POSCAR):
```
ScCoAu2F
1.0
5.0098 0.0000 0.0000
0.0000 5.0098 0.0000
0.0000 0.0000 3.8230
Sc Co Au F
1 1 2 1
direct
0.0000 0.0000 0.0000
0.5000 0.5000 0.0000
0.0000 0.5000 0.5000
0.5000 0.0000 0.5000
0.0000 0.0000 0.5000
```

Values from the calculation:
The mass density is 8.9 g/cm³. As for the space group: P4/mmm, No. 123. As for the uncorrected energy: -4.339 eV/atom.



Computed, not measured: a geometry-optimized CoSnAuF2 structure at the GGA+U level of DFT.

Structure (POSCAR):
```
CoSnAuF2
1.0
4.2506 0.0000 0.0000
0.0000 4.2506 0.0000
0.0000 0.0000 5.7359
Co Sn Au F
1 1 1 2
direct
0.0000 0.0000 0.0000
0.5000 0.5000 0.0000
0.5000 0.5000 0.5000
0.0000 0.5000 0.5000
0.5000 0.0000 0.5000
```

Values from the calculation:
The mass density is 6.6 g/cm³. As for the space group: P4/mmm, No. 123. As for the uncorrected energy: -3.406 eV/atom.



Computed, not measured: a geometry-optimized TiCo2AuF structure at the GGA+U level of DFT.

Structure (POSCAR):
```
TiCo2AuF
1.0
3.9550 0.0000 0.0000
0.0000 3.9550 0.0000
0.0000 0.0000 5.1330
Ti Co Au F
1 2 1 1
direct
0.0000 0.0000 0.0000
0.0000 0.5000 0.5000
0.5000 0.0000 0.5000
0.5000 0.5000 0.0000
0.5000 0.5000 0.5000
```

Values from the calculation:
The mass density is 7.9 g/cm³. As for the space group: P4/mmm, No. 123. As for the uncorrected energy: -4.427 eV/atom.